LuMgBi | GGA-PBE | relaxed

Summary:
electronic total energy = -41.40 eV for the cell shown

Lattice parameters (Å, degrees): 7.259 7.259 7.259 90.00 90.00 90.00
Space group F-43m (No. 216)
One atom of each set of equivalent atoms:
Lu1 0.000 0.000 0.000
Mg1 0.250 0.250 0.250
Bi1 0.250 0.250 0.750


LuMgNiBi | GGA-PBE | relaxed

Summary:
excess energy over the best structure of this formula in the dataset = 0.00 eV per formula unit
electronic total energy = -63.65 eV for the cell shown

Lattice parameters (Å, degrees): 6.982 6.982 6.982 90.00 90.00 90.00
Space group F-43m (No. 216)
One atom of each set of equivalent atoms:
Lu1 0.000 0.000 0.000
Mg1 0.250 0.250 0.250
Ni1 0.250 0.250 0.750
Bi1 0.000 0.000 0.500


LuMgNiBi | GGA-PBE | relaxed

Summary:
excess energy over the best structure of this formula in the dataset = 0.25 eV per formula unit
electronic total energy = -62.67 eV for the cell shown

Lattice parameters (Å, degrees): 6.998 6.998 6.998 90.00 90.00 90.00
Space group F-43m (No. 216)
One atom of each set of equivalent atoms:
Lu1 0.000 0.000 0.000
Mg1 0.250 0.250 0.750
Ni1 0.000 0.000 0.500
Bi1 0.250 0.250 0.250


LuBi2Mo | GGA-PBE | relaxed

Summary:
electronic total energy = -86.65 eV for the cell shown

Lattice parameters (Å, degrees): 7.274 7.274 7.274 90.00 90.00 90.00
Space group F-43m (No. 216)
One atom of each set of equivalent atoms:
Lu1 0.000 0.000 0.000
Bi1 0.000 0.000 0.500
Bi2 0.250 0.250 0.250
Mo1 0.250 0.250 0.750


Lu2BiMo | GGA-PBE | relaxed

Summary:
electronic total energy = -92.27 eV for the cell shown

Lattice parameters (Å, degrees): 7.130 7.130 7.130 90.00 90.00 90.00
Space group F-43m (No. 216)
One atom of each set of equivalent atoms:
Lu1 0.000 0.000 0.000
Lu2 0.250 0.250 0.250
Bi1 0.000 0.000 0.500
Mo1 0.250 0.250 0.750


Lu2Bi3Mo4N3 | GGA-PBE | relaxed

Summary:
electronic total energy = -371.10 eV for the cell shown

Lattice parameters (Å, degrees): 10.192 5.931 14.126 90.00 98.75 90.00
Space group C2/c (No. 15)
One atom of each set of equivalent atoms:
Lu1 0.068 0.087 0.410
Bi1 0.000 0.440 0.250
Bi2 0.179 0.112 0.736
Mo1 0.089 0.430 0.569
Mo2 0.222 0.417 0.940
N1 0.080 0.244 0.003
N2 0.250 0.250 0.500


Lu3Bi2N | GGA-PBE | relaxed

Summary:
electronic total energy = -34.63 eV for the cell shown

Lattice parameters (Å, degrees): 3.8156 3.8156 10.9129 90.00 90.00 120.00
Space group P-3m1 (No. 164)
One atom of each set of equivalent atoms:
Lu1 0.0000 0.0000 0.0000
Lu2 0.3333 0.6667 0.6096
Bi1 0.3333 0.6667 0.1898
N1 0.0000 0.0000 0.5000


Lu2Bi4N | GGA-PBE | relaxed

Summary:
electronic total energy = -65.60 eV for the cell shown

Lattice parameters (Å, degrees): 7.566 7.566 6.994 90.00 90.00 90.00
Space group I4/mmm (No. 139)
One atom of each set of equivalent atoms:
Lu1 0.000 0.500 0.250
Bi1 0.230 0.230 0.000
N1 0.000 0.000 0.000


Lu4Nb2Bi3N3 | GGA-PBE | relaxed

Summary:
electronic total energy = -342.86 eV for the cell shown

Lattice parameters (Å, degrees): 10.455 6.055 14.541 90.00 103.68 90.00
Space group C2/c (No. 15)
One atom of each set of equivalent atoms:
Lu1 0.112 0.088 0.085
Lu2 0.224 0.080 0.415
Nb1 0.052 0.424 0.926
Bi1 0.000 0.100 0.750
Bi2 0.158 0.426 0.250
N1 0.086 0.241 0.500
N2 0.250 0.250 0.000


Lu4NiBiN2 | GGA-PBE | relaxed

Summary:
electronic total energy = -52.68 eV for the cell shown

Lattice parameters (Å, degrees): 3.4621 3.4621 14.0820 90.00 90.00 120.00
Space group P-6m2 (No. 187)
One atom of each set of equivalent atoms:
Lu1 0.0000 0.0000 0.1306
Lu2 0.3333 0.6667 0.3185
Ni1 0.3333 0.6667 0.0000
Bi1 0.0000 0.0000 0.5000
N1 0.6667 0.3333 0.2432


LuBiN2O | GGA-PBE | relaxed

Summary:
electronic total energy = -269.89 eV for the cell shown

Lattice parameters (Å, degrees): 7.523 8.621 8.664 87.00 88.42 87.90
Space group P1 (No. 1)
One atom of each set of equivalent atoms:
Lu1 0.000 0.000 0.000
Lu2 0.004 0.537 0.097
Lu3 0.068 0.527 0.481
Lu4 0.073 0.065 0.577
Lu5 0.476 0.527 0.086
Lu6 0.508 0.991 0.986
Lu7 0.562 0.079 0.587
Lu8 0.596 0.537 0.491
Bi1 0.282 0.311 0.824
Bi2 0.291 0.233 0.273
Bi3 0.295 0.809 0.328
Bi4 0.296 0.741 0.767
Bi5 0.776 0.324 0.810
Bi6 0.777 0.255 0.249
Bi7 0.780 0.833 0.303
Bi8 0.788 0.755 0.753
N1 0.026 0.815 0.423
N2 0.031 0.197 0.803
N3 0.040 0.869 0.774
N4 0.045 0.247 0.152
N5 0.229 0.539 0.916
N6 0.320 0.643 0.550
N7 0.340 0.029 0.422
N8 0.419 0.246 0.033
N9 0.527 0.334 0.680
N10 0.527 0.356 0.324
N11 0.544 0.734 0.898
N12 0.545 0.704 0.257
N13 0.652 0.822 0.544
N14 0.731 0.035 0.153
N15 0.751 0.422 0.028
N16 0.843 0.528 0.662
O1 0.172 0.297 0.505
O2 0.225 0.545 0.249
O3 0.253 0.917 0.092
O4 0.349 0.019 0.760
O5 0.721 0.050 0.814
O6 0.821 0.146 0.483
O7 0.848 0.515 0.329
O8 0.901 0.768 0.073


LuBiNO | GGA-PBE | relaxed

Summary:
excess energy over the best structure of this formula in the dataset = 0.65 eV per formula unit
electronic total energy = -52.94 eV for the cell shown

Lattice parameters (Å, degrees): 4.438 4.438 7.756 90.00 90.00 90.00
Space group P4/nmm (No. 129, origin choice 2)
One atom of each set of equivalent atoms:
Lu1 0.250 0.250 0.081
Bi1 0.250 0.750 0.500
N1 0.250 0.250 0.356
O1 0.250 0.750 0.000